one.
Density functional theory data (PBE) for Tb6PmPr2 after structural relaxation.

Values from the calculation:
Total magnetization: 0.00 μB/f.u.

a b c (Å): 3.522 9.882 9.882
angles (deg): 63.62 79.81 79.81
Positions (direct):
Tb 0.821 0.344 0.011
Tb 0.179 0.989 0.656
Tb 0.179 0.656 0.989
Tb 0.500 0.312 0.688
Tb 0.821 0.011 0.344
Tb 0.500 0.688 0.312
Pm 0.000 0.000 0.000
Pr 0.844 0.657 0.657
Pr 0.156 0.343 0.343

***

two.
Density functional theory data (PBE) for Tb6PmPr2 after structural relaxation.

Values from the calculation:
Total magnetization: 0.00 μB/f.u.

a b c (Å): 6.136 10.187 10.187
angles (deg): 70.21 84.31 84.31
Positions (direct):
Tb 0.484 0.686 0.410
Tb 0.016 0.590 0.314
Tb 0.516 0.314 0.590
Tb 0.984 0.410 0.686
Tb 0.647 0.077 0.349
Tb 0.853 0.651 0.923
Tb 0.353 0.923 0.651
Tb 0.147 0.349 0.077
Tb 0.318 0.746 0.021
Tb 0.182 0.979 0.254
Tb 0.682 0.254 0.979
Tb 0.818 0.021 0.746
Pm 0.250 0.100 0.900
Pm 0.750 0.900 0.100
Pr 0.420 0.565 0.769
Pr 0.080 0.231 0.435
Pr 0.580 0.435 0.231
Pr 0.920 0.769 0.565

***

Energies in kJ/mol of atoms, measured from the most stable structure: one 0.8; two 0.0.